{
  "formula": "BeHg3Ge",
  "functional": "PBE",
  "state": "optimized geometry",
  "de_polymorph_mev_per_atom": 0,
  "space_group": "Pm-3m (221)",
  "n_ef_per_ev_cell": 3.41,
  "formation_energy_ev_per_fu": 2.19,
  "volume_a3_per_atom": 22.2,
  "e_tot_ry_per_atom": -0.1037,
  "cell": [[4.8070, 0.0000, 0.0000], [0.0000, 4.8070, 0.0000], [0.0000, 0.0000, 4.8070]],
  "species": ["Be", "Hg", "Hg", "Hg", "Ge"],
  "frac_coords": [[0.0000, 0.0000, 0.0000], [0.0000, 0.0000, 0.5000], [0.0000, 0.5000, 0.0000], [0.5000, 0.0000, 0.0000], [0.5000, 0.5000, 0.5000]]
}

{
  "formula": "BaSm2Ru",
  "functional": "PBE",
  "state": "optimized geometry",
  "de_polymorph_mev_per_atom": 0,
  "space_group": "P4/mmm (123)",
  "n_ef_per_ev_cell": 2.85,
  "formation_energy_ev_per_fu": -0.27,
  "volume_a3_per_atom": 32.6,
  "e_tot_ry_per_atom": -0.3841,
  "cell": [[3.5537, 0.0000, 0.0000], [0.0000, 3.5537, 0.0000], [0.0000, 0.0000, 10.3140]],
  "species": ["Ba", "Sm", "Sm", "Ru"],
  "frac_coords": [[0.0000, 0.0000, 0.0000], [0.5000, 0.5000, 0.3397], [0.5000, 0.5000, 0.6603], [0.0000, 0.0000, 0.5000]]
}

{
  "formula": "PbWS2",
  "functional": "PBE",
  "state": "optimized geometry",
  "space_group": "I-42d (122)",
  "n_ef_per_ev_cell": 3.51,
  "formation_energy_uncorrected_mev_per_atom": 90.6,
  "volume_a3_per_atom": 26.0,
  "e_tot_ry_per_atom": -0.4512,
  "cell": [[-3.1338, 3.1338, 5.2999], [3.1338, -3.1338, 5.2999], [3.1338, 3.1338, -5.2999]],
  "species": ["Pb", "Pb", "W", "W", "S", "S", "S", "S"],
  "frac_coords": [[0.0000, 0.0000, 0.0000], [0.7500, 0.2500, 0.5000], [0.2500, 0.7500, 0.5000], [0.5000, 0.5000, 0.0000], [0.2137, 0.6250, 0.0887], [0.3750, 0.4637, 0.5887], [0.5363, 0.1250, 0.9113], [0.8750, 0.7863, 0.4113]]
}

{
  "formula": "LaAlCo2Hg",
  "functional": "PBE",
  "state": "optimized geometry",
  "space_group": "P4/mmm (123)",
  "n_ef_per_ev_cell": 10.06,
  "formation_energy_ev_per_fu": 5.36,
  "volume_a3_per_atom": 27.1,
  "e_tot_ry_per_atom": -0.2620,
  "cell": [[4.8871, 0.0000, 0.0000], [0.0000, 4.8871, 0.0000], [0.0000, 0.0000, 5.6730]],
  "species": ["La", "Al", "Co", "Co", "Hg"],
  "frac_coords": [[0.0000, 0.0000, 0.0000], [0.5000, 0.5000, 0.0000], [0.0000, 0.5000, 0.5000], [0.5000, 0.0000, 0.5000], [0.0000, 0.0000, 0.5000]]
}

{
  "formula": "PrDy2Er4",
  "functional": "PBE",
  "state": "optimized geometry",
  "de_polymorph_mev_per_atom": 90,
  "space_group": "P2_1/m (11)",
  "n_ef_per_ev_cell": 22.61,
  "formation_energy_ev_per_fu": 0.88,
  "volume_a3_per_atom": 31.6,
  "e_tot_ry_per_atom": -0.3292,
  "cell": [[6.0671, 0.0000, 0.0000], [0.0000, 6.5516, 0.0000], [-2.7877, 0.0000, 11.1437]],
  "species": ["Pr", "Pr", "Dy", "Dy", "Dy", "Dy", "Er", "Er", "Er", "Er", "Er", "Er", "Er", "Er"],
  "frac_coords": [[0.0455, 0.2500, 0.3651], [0.9545, 0.7500, 0.6349], [0.1560, 0.2500, 0.9509], [0.3961, 0.7500, 0.5102], [0.6039, 0.2500, 0.4898], [0.8440, 0.7500, 0.0491], [0.1454, 0.2500, 0.6664], [0.2827, 0.7500, 0.9219], [0.3458, 0.5084, 0.2102], [0.3458, 0.9916, 0.2102], [0.6542, 0.0084, 0.7898], [0.6542, 0.4916, 0.7898], [0.7173, 0.2500, 0.0781], [0.8546, 0.7500, 0.3336]]
}

{
  "formula": "NaTa2Co2",
  "functional": "PBE",
  "state": "optimized geometry",
  "de_polymorph_mev_per_atom": 47,
  "space_group": "P4/mbm (127)",
  "n_ef_per_ev_cell": 7.45,
  "formation_energy_ev_per_fu": 1.17,
  "volume_a3_per_atom": 15.9,
  "e_tot_ry_per_atom": -0.5595,
  "cell": [[7.6519, 0.0000, 0.0000], [0.0000, 7.6519, 0.0000], [0.0000, 0.0000, 2.7203]],
  "species": ["Na", "Na", "Ta", "Ta", "Ta", "Ta", "Co", "Co", "Co", "Co"],
  "frac_coords": [[0.0000, 0.0000, 0.0000], [0.5000, 0.5000, 0.0000], [0.1454, 0.3546, 0.0000], [0.3546, 0.8546, 0.0000], [0.6454, 0.1454, 0.0000], [0.8546, 0.6454, 0.0000], [0.1446, 0.6446, 0.5000], [0.3554, 0.1446, 0.5000], [0.6446, 0.8554, 0.5000], [0.8554, 0.3554, 0.5000]]
}

{
  "formula": "AgRhAu2",
  "functional": "PBE",
  "state": "optimized geometry",
  "de_polymorph_mev_per_atom": 65,
  "space_group": "Fm-3m (225)",
  "n_ef_per_ev_cell": 0.39,
  "formation_energy_ev_per_fu": 0.58,
  "volume_a3_per_atom": 17.1,
  "e_tot_ry_per_atom": -0.2972,
  "cell": [[0.0000, 3.2459, 3.2459], [3.2459, 0.0000, 3.2459], [3.2459, 3.2459, 0.0000]],
  "species": ["Ag", "Rh", "Au", "Au"],
  "frac_coords": [[0.0000, 0.0000, 0.0000], [0.5000, 0.5000, 0.5000], [0.2500, 0.2500, 0.2500], [0.7500, 0.7500, 0.7500]]
}

{
  "formula": "ZrOsSe2",
  "functional": "PBE",
  "state": "optimized geometry",
  "de_polymorph_mev_per_atom": 265,
  "space_group": "P4/mmm (123)",
  "n_ef_per_ev_cell": 1.71,
  "formation_energy_uncorrected_mev_per_atom": -264.4,
  "volume_a3_per_atom": 16.9,
  "e_tot_ry_per_atom": -0.5109,
  "cell": [[4.5306, 0.0000, 0.0000], [0.0000, 4.5306, 0.0000], [0.0000, 0.0000, 3.2967]],
  "species": ["Zr", "Os", "Se", "Se"],
  "frac_coords": [[0.0000, 0.0000, 0.0000], [0.5000, 0.5000, 0.0000], [0.0000, 0.5000, 0.5000], [0.5000, 0.0000, 0.5000]]
}